No. 1
Gd2CdAg (PBE, optimized geometry); calculated total energy = -8.08 eV per atom; ΔE_f = -100 meV/atom
1.0
1.852 1.069 9.409
-1.852 1.069 9.409
0.000 -2.138 9.409
Gd Cd Ag
2 1 1
Direct
0.246 0.246 0.246
0.754 0.754 0.754
0.000 0.000 0.000
0.500 0.500 0.500

---

No. 2
Ti2Se2Br (PBE, optimized geometry); formation energy without anion corrections = -0.8656 eV/atom; relative energy among the computed polymorphs = 0.84 eV per formula unit; calculated total energy = -5.75 eV per atom
1.0
7.501 0.000 0.000
0.000 7.501 0.000
0.000 0.000 3.393
Ti Se Br
4 4 2
Direct
0.129 0.371 0.000
0.371 0.871 0.000
0.629 0.129 0.000
0.871 0.629 0.000
0.143 0.643 0.500
0.357 0.143 0.500
0.643 0.857 0.500
0.857 0.357 0.500
0.000 0.000 0.000
0.500 0.500 0.000

---

No. 3
Sc3AsN (PBE, optimized geometry); formation energy without anion corrections = -1.1615 eV/atom; relative energy among the computed polymorphs = 0.12 eV per formula unit; calculated total energy = -7.56 eV per atom
1.0
4.362 0.000 0.000
0.000 4.362 0.000
0.000 0.000 4.362
Sc As N
3 1 1
Direct
0.000 0.000 0.500
0.000 0.500 0.000
0.500 0.000 0.000
0.500 0.500 0.500
0.000 0.000 0.000

---

No. 4
HoPaOs2 (PBE, optimized geometry); relative energy among the computed polymorphs = 0.16 eV per formula unit; calculated total energy = -9.38 eV per atom; ΔE_f = -251 meV/atom
1.0
5.746 0.000 0.000
0.000 5.867 0.000
-3.669 0.000 10.260
Ho Pa Os
4 4 8
Direct
0.197 0.140 0.149
0.197 0.860 0.649
0.803 0.140 0.351
0.803 0.860 0.851
0.315 0.352 0.856
0.315 0.648 0.356
0.685 0.352 0.644
0.685 0.648 0.144
0.142 0.367 0.601
0.142 0.633 0.101
0.359 0.169 0.442
0.359 0.831 0.942
0.641 0.169 0.058
0.641 0.831 0.558
0.858 0.367 0.899
0.858 0.633 0.399

---

No. 5
AcAlCu4 (PBE, optimized geometry); relative energy among the computed polymorphs = 0.31 eV per formula unit; calculated total energy = -4.09 eV per atom; ΔE_f = -52 meV/atom
1.0
7.285 0.000 0.000
0.000 4.031 0.000
0.000 0.000 7.514
Ac Al Cu
2 2 8
Direct
0.250 0.000 0.155
0.750 0.000 0.845
0.250 0.000 0.720
0.750 0.000 0.280
0.000 0.000 0.500
0.079 0.500 0.847
0.250 0.500 0.524
0.421 0.500 0.847
0.500 0.000 0.500
0.579 0.500 0.153
0.750 0.500 0.476
0.921 0.500 0.153

---

No. 6
SbAs5 (PBE, optimized geometry); formation energy without anion corrections = 0.5027 eV/atom; relative energy among the computed polymorphs = 2.31 eV per formula unit; calculated total energy = -4.06 eV per atom
1.0
5.427 0.000 0.000
-2.714 4.700 0.000
0.000 0.000 5.107
Sb As
1 5
Direct
0.000 0.000 0.000
0.000 0.500 0.500
0.333 0.667 0.000
0.500 0.000 0.500
0.500 0.500 0.500
0.667 0.333 0.000

---

No. 7
DySc3Ge2 (PBE, optimized geometry); calculated total energy = -6.09 eV per atom; ΔE_f = -617 meV/atom
1.0
8.182 -2.090 0.000
8.182 2.090 0.000
-3.379 0.000 7.856
Dy Sc Ge
2 6 4
Direct
0.116 0.116 0.139
0.884 0.884 0.861
0.056 0.056 0.694
0.309 0.309 0.109
0.350 0.350 0.514
0.650 0.650 0.486
0.691 0.691 0.891
0.944 0.944 0.306
0.238 0.238 0.716
0.489 0.489 0.147
0.511 0.511 0.853
0.762 0.762 0.284

---

No. 8
Ta2Fe (PBE, optimized geometry); calculated total energy = -10.60 eV per atom; ΔE_f = 123 meV/atom
1.0
4.593 0.000 0.000
-2.297 3.978 0.000
0.000 0.000 5.177
Ta Fe
4 2
Direct
0.000 0.000 0.000
0.000 0.000 0.500
0.333 0.667 0.250
0.667 0.333 0.750
0.333 0.667 0.750
0.667 0.333 0.250

---

No. 9
Be2CrTe (PBE, optimized geometry); formation energy without anion corrections = 0.5153 eV/atom; calculated total energy = -4.54 eV per atom
1.0
2.619 -2.986 0.000
2.619 2.986 0.000
0.000 0.000 3.578
Be Cr Te
2 1 1
Direct
0.000 0.500 0.000
0.500 0.000 0.000
0.000 0.000 0.500
0.500 0.500 0.500

---

No. 10
SrScTl2H (PBE, optimized geometry); calculated total energy = -2.81 eV per atom
1.0
6.153 0.000 0.000
0.000 6.153 0.000
0.000 0.000 3.976
Sr Sc Tl H
1 1 2 1
Direct
0.000 0.000 0.000
0.500 0.500 0.500
0.000 0.500 0.000
0.500 0.000 0.000
0.000 0.000 0.500

---

No. 11
Nd5Sm2Y3 (PBE, optimized geometry); relative energy among the computed polymorphs = 0.00 eV per formula unit; calculated total energy = -5.09 eV per atom; ΔE_f = 181 meV/atom
1.0
5.455 -7.451 0.000
5.455 7.451 0.000
-5.434 0.000 8.540
Nd Sm Y
10 4 6
Direct
0.015 0.985 0.750
0.131 0.386 0.761
0.226 0.774 0.750
0.386 0.131 0.261
0.476 0.524 0.250
0.524 0.476 0.750
0.614 0.869 0.739
0.774 0.226 0.250
0.869 0.614 0.239
0.985 0.015 0.250
0.026 0.278 0.059
0.278 0.026 0.559
0.722 0.974 0.441
0.974 0.722 0.941
0.221 0.470 0.446
0.269 0.731 0.250
0.470 0.221 0.946
0.530 0.779 0.054
0.731 0.269 0.750
0.779 0.530 0.554

---

No. 12
Rb2AcUO6 (PBE, optimized geometry); formation energy without anion corrections = -2.6301 eV/atom; calculated total energy = -7.34 eV per atom
1.0
0.000 4.539 4.539
4.539 0.000 4.539
4.539 4.539 0.000
Rb Ac U O
2 1 1 6
Direct
0.250 0.250 0.250
0.750 0.750 0.750
0.000 0.000 0.000
0.500 0.500 0.500
0.272 0.272 0.728
0.272 0.728 0.272
0.272 0.728 0.728
0.728 0.272 0.272
0.728 0.272 0.728
0.728 0.728 0.272